No. 1
# RbVPb2F8

RbVPb2F8 after structural relaxation (PBE with a Hubbard U, the Alexandria database).

a b c (Å): 5.6065 5.4600 7.4593
angles (deg): 72.07 84.30 83.78
Closest atoms and distances in Å follow each position.
Atoms (fractional coordinates):
Pb 0.4723 0.3976 0.7742  3 F 2.34-2.36
Rb 0.0000 0.0000 0.5000  6 F 2.77-3.07
F 0.7908 0.2422 0.1023  1 V 1.95
F 0.9217 0.7069 0.2412  1 V 2.05
F 0.2756 0.0699 0.1127  1 V 1.96
F 0.0783 0.2931 0.7588  1 V 2.05
V 0.0000 0.0000 0.0000  6 F 1.95-2.05
F 0.7244 0.9301 0.8873  1 V 1.96
Pb 0.5277 0.6024 0.2258  3 F 2.34-2.36
F 0.2092 0.7578 0.8977  1 V 1.95
F 0.5466 0.2557 0.5073  2 Pb 2.34-2.36
F 0.4534 0.7443 0.4927  2 Pb 2.34-2.36

---

No. 2
# Rb2VPbF6

Rb2VPbF6 after structural relaxation (PBE with a Hubbard U, the Alexandria database).

a b c (Å): 6.4382 6.4382 6.4359
angles (deg): 59.99 59.99 90.00
Closest atoms and distances in Å follow each position.
Atoms (fractional coordinates):
Rb 0.2500 0.7500 0.5000  12 F 3.22
F 0.2668 0.2668 0.0000  1 V 2.12
F 0.2671 0.2671 0.4659  1 V 2.12
F 0.7332 0.7332 0.0000  1 V 2.12
Rb 0.7500 0.2500 0.5000  12 F 3.22
V 0.5000 0.5000 0.0000  6 F 2.12
F 0.7332 0.2668 0.0000  1 V 2.12
F 0.7329 0.7329 0.5341  1 V 2.12
Pb 0.0000 0.0000 0.0000  6 F 2.43
F 0.2668 0.7332 0.0000  1 V 2.12

---

No. 3
# RbPbWF6

RbPbWF6 after structural relaxation (PBE with a Hubbard U, the Alexandria database).

a b c (Å): 8.0381 7.8762 7.9245
angles (deg): 119.80 120.48 90.00
Closest atoms and distances in Å follow each position.
Atoms (fractional coordinates):
Rb 0.1471 0.3971 0.2942  9 F 3.08-3.35
W 0.5000 0.0000 0.0000  6 F 2.10-2.13
F 0.5506 0.8381 0.7347  1 W 2.10
Pb 0.0000 0.0000 0.5000  6 F 2.42-2.61
F 0.1840 0.3965 0.7347  1 W 2.10
F 0.4494 0.1619 0.2653  1 W 2.10
F 0.8713 0.1213 0.7427  2 Pb 2.42
F 0.4273 0.1773 0.8547  2 W 2.13
Pb 0.5000 0.0000 0.5000  6 F 2.42-2.61
W 0.5000 0.5000 0.0000  6 F 2.10-2.13
F 0.1287 0.8787 0.2573  2 Pb 2.42
F 0.5506 0.3965 0.7347  1 W 2.10
F 0.1840 0.8381 0.7347  1 W 2.10
F 0.5727 0.8227 0.1453  2 W 2.13
F 0.8160 0.1619 0.2653  1 W 2.10
F 0.8160 0.6035 0.2653  1 W 2.10
Rb 0.8529 0.6029 0.7058  9 F 3.08-3.35
F 0.4494 0.6035 0.2653  1 W 2.10

---

No. 4
# Rb2PbWF6

Rb2PbWF6 after structural relaxation (PBE with a Hubbard U, the Alexandria database).

a b c (Å): 6.4658 6.4658 7.0917
angles (deg): 62.88 62.88 90.00
Closest atoms and distances in Å follow each position.
Atoms (fractional coordinates):
F 0.2685 0.2685 0.0000  1 W 2.12
F 0.2685 0.7315 0.0000  1 W 2.12
F 0.7315 0.7315 0.0000  1 W 2.12
Rb 0.7500 0.2500 0.5000  12 F 3.29-3.55
F 0.7315 0.2685 0.0000  1 W 2.12
Pb 0.0000 0.0000 0.0000  4 F 2.46
F 0.3050 0.3050 0.3899  1 W 2.11
W 0.5000 0.5000 0.0000  6 F 2.11-2.12
Rb 0.2500 0.7500 0.5000  12 F 3.29-3.55
F 0.6950 0.6950 0.6101  1 W 2.11

---

Which final energy belongs to each record? In order, -5.182, -5.064, -5.139, -4.774 eV per atom.
Which total magnetic moment belongs to each record? In order, 2.00, 3.00, 6.00, 4.00 μB per cell.